Record 1
The following is a GGA-PBE calculation of an optimized crystal structure of Ba3Mo, from Alexandria.

Geometry as extended XYZ:
```
4
Lattice="-2.0735 3.2033 6.8394 2.0735 -3.2033 6.8394 2.0735 3.2033 -6.8394" Properties=species:S:1:pos:R:3 pbc="T T T"
Ba 0.0000 0.0000 0.0000
Ba 2.0735 0.0000 4.2332
Ba 0.0000 3.2033 2.6061
Mo 0.0000 0.0000 6.8394
```

* ΔH_f (0 K): 0.817 eV/atom
* total energy: -13.3 eV for the cell shown
* ΔE to the lowest computed polymorph: 0.203 eV/f.u.
* symmetry: No. 71

Record 2
The following is a GGA-PBE calculation of an optimized crystal structure of ErBe3Cu10, from Alexandria.

Geometry as extended XYZ:
```
28
Lattice="0.0000 5.6168 5.6168 5.6168 0.0000 5.6168 5.6168 5.6168 0.0000" Properties=species:S:1:pos:R:3 pbc="T T T"
Er 2.8084 2.8084 2.8084
Er 8.4252 8.4252 8.4252
Be 5.6168 5.6168 2.6569
Be 5.6168 2.6569 5.6168
Be 8.5767 5.6168 5.6168
Be 2.6569 5.6168 5.6168
Be 5.6168 8.5767 5.6168
Be 5.6168 5.6168 8.5767
Cu 1.2527 1.2527 1.2527
Cu 4.3641 4.3641 1.2527
Cu 4.3641 1.2527 4.3641
Cu 5.6168 3.6801 3.6801
Cu 7.5535 5.6168 3.6801
Cu 7.5535 3.6801 5.6168
Cu 9.9808 6.8695 6.8695
Cu 3.6801 5.6168 3.6801
Cu 5.6168 7.5535 3.6801
Cu 3.6801 3.6801 5.6168
Cu 7.5535 7.5535 5.6168
Cu 5.6168 3.6801 7.5535
Cu 7.5535 5.6168 7.5535
Cu 1.2527 4.3641 4.3641
Cu 3.6801 7.5535 5.6168
Cu 3.6801 5.6168 7.5535
Cu 5.6168 7.5535 7.5535
Cu 6.8695 9.9808 6.8695
Cu 6.8695 6.8695 9.9808
Cu 9.9808 9.9808 9.9808
```

* ΔH_f (0 K): 0.007 eV/atom
* total energy: -113.2 eV for the cell shown
* symmetry: No. 225